An optimized crystal structure of BSeS2Cl. Source: Alexandria via LeMat-Bulk, functional PBE.

Volume in A^3/atom: 15.776
E_form (uncorrected) in eV/atom: 0.757
N(E_F) in states/eV per cell: 3.0
ρ in g/cm3: 4.0
Total moment in μB/f.u.: 0.0

```
BSeS2Cl
1.0
-1.047 -0.787 -4.188
-3.997 -1.313 1.246
-1.379 3.839 -0.376
Cl S B Se
1 2 1 1
Cartesian
-0.689 1.920 -0.188
-1.999 -0.657 0.623
-0.524 -0.393 -2.094
0.000 0.000 0.000
-3.212 0.870 -1.659
```

***

An optimized crystal structure of TbNdTlGa. Source: Alexandria via LeMat-Bulk, functional PBE.

Volume in A^3/atom: 26.595
N(E_F) in states/eV per cell: 2.2
ρ in g/cm3: 9.0
VASP energy in eV per atom: -4.135
Total moment in μB/f.u.: 0.0

```
TbNdTlGa
1.0
-1.234 2.486 4.537
2.959 -0.781 4.350
3.120 3.899 1.829
Ga Tl Tb Nd
1 1 1 1
Cartesian
1.211 1.401 2.679
3.634 4.203 8.037
0.000 0.000 0.000
2.423 2.802 5.358
```

***

An optimized crystal structure of Cs2KVH. Source: Alexandria via LeMat-Bulk, functional PBE.

Volume in A^3/atom: 50.129
N(E_F) in states/eV per cell: 6.7
ρ in g/cm3: 2.4
VASP energy in eV per atom: -2.157
Total moment in μB/f.u.: 4.8

```
Cs2KVH
1.0
-3.164 5.594 3.774
-1.557 -2.938 3.049
6.239 0.835 3.992
H Cs V K
1 2 1 1
Cartesian
-0.779 -1.469 1.525
-1.582 2.797 1.887
3.119 0.418 1.996
0.759 1.746 5.408
0.000 0.000 0.000
```

***

An optimized crystal structure of V9Cr4Ga11. Source: Alexandria via LeMat-Bulk, functional PBE.

Volume in A^3/atom: 13.931
N(E_F) in states/eV per cell: 19.9
ρ in g/cm3: 7.1
VASP energy in eV per atom: -6.421
Total moment in μB/f.u.: 0.0

```
V9Cr4Ga11
1.0
-2.472 0.362 0.837
-1.244 -11.784 1.426
4.076 6.191 9.354
V Ga Cr
9 11 4
Cartesian
1.068 1.884 6.484
-0.708 -7.114 5.134
-1.274 -1.950 1.227
1.628 0.778 8.615
0.809 -6.066 9.161
-1.268 -6.009 3.003
0.180 -2.615 5.809
-0.450 0.836 2.456
1.634 -3.280 10.390
2.019 -3.989 7.688
3.233 -1.042 9.997
-0.402 -4.550 0.783
1.237 -7.787 7.022
2.048 -0.659 6.333
1.595 2.194 3.758
0.812 -1.604 3.092
0.783 -4.934 4.448
0.000 0.000 0.000
-0.337 -8.719 2.778
3.169 3.126 8.002
0.244 0.265 4.752
-0.879 -3.530 3.078
0.116 -5.496 6.866
1.239 -1.700 8.540
```

***

An optimized crystal structure of Sc2ReBr. Source: Alexandria via LeMat-Bulk, functional PBE.

Volume in A^3/atom: 20.149
E_form (uncorrected) in eV/atom: -0.398
N(E_F) in states/eV per cell: 2.1
ρ in g/cm3: 7.3
Total moment in μB/f.u.: 0.0

```
Sc2ReBr
1.0
-1.979 -1.535 2.236
-0.867 -3.212 -0.453
5.710 -3.981 4.842
Sc Re Br
2 1 1
Cartesian
1.308 -4.322 3.235
-2.722 -4.789 1.861
0.716 -2.182 1.656
2.148 -6.546 4.969
```

***

An optimized crystal structure of MgIrRh4. Source: Alexandria via LeMat-Bulk, functional PBE.

Volume in A^3/atom: 14.566
N(E_F) in states/eV per cell: 18.5
ρ in g/cm3: 11.9
VASP energy in eV per atom: -6.760
Total moment in μB/f.u.: 0.0

```
MgIrRh4
1.0
4.671 -0.658 -0.461
-0.803 5.399 0.478
-0.789 0.635 7.195
Ir Rh Mg
2 8 2
Cartesian
-0.201 1.350 0.119
-0.602 4.050 0.358
3.644 4.500 2.346
1.701 2.921 1.233
1.379 2.455 5.978
-0.564 0.877 4.866
2.102 0.222 0.995
4.045 1.800 2.107
0.978 5.155 6.217
-0.965 3.576 5.105
1.339 4.038 3.725
1.741 1.339 3.486
```